(1)
LiAg, relaxed, DFT GGA-PBEsol; calculated total energy = -2.78 eV/atom; SG = R-3m; crystal system = trigonal
1.0
2.8694 0.0000 0.0000
1.4347 2.4850 0.0000
1.4347 0.8283 4.4069
Li Ag
1 1
direct
0.5000 0.5000 0.5000 Li
0.0000 0.0000 0.0000 Ag

(2)
Sr3Mo, relaxed, DFT GGA-PBEsol; calculated total energy = -3.27 eV/atom; offset from the most stable computed form = 0.305 eV per formula unit; SG = R-3m; crystal system = trigonal
1.0
3.7067 0.0000 0.0000
-1.2356 6.6469 0.0000
-1.2356 -3.3235 5.7564
Sr Mo
3 1
direct
0.0000 0.5000 0.5000 Sr
0.5000 0.5000 0.0000 Sr
0.5000 0.0000 0.5000 Sr
0.0000 0.0000 0.0000 Mo

Repeat the second record exactly.
Sr3Mo, relaxed, DFT GGA-PBEsol; calculated total energy = -3.27 eV/atom; offset from the most stable computed form = 0.305 eV per formula unit; SG = R-3m; crystal system = trigonal
1.0
3.7067 0.0000 0.0000
-1.2356 6.6469 0.0000
-1.2356 -3.3235 5.7564
Sr Mo
3 1
direct
0.0000 0.5000 0.5000 Sr
0.5000 0.5000 0.0000 Sr
0.5000 0.0000 0.5000 Sr
0.0000 0.0000 0.0000 Mo

Copy entry 2 word for word.
Sr3Mo, relaxed, DFT GGA-PBEsol; calculated total energy = -3.27 eV/atom; offset from the most stable computed form = 0.305 eV per formula unit; SG = R-3m; crystal system = trigonal
1.0
3.7067 0.0000 0.0000
-1.2356 6.6469 0.0000
-1.2356 -3.3235 5.7564
Sr Mo
3 1
direct
0.0000 0.5000 0.5000 Sr
0.5000 0.5000 0.0000 Sr
0.5000 0.0000 0.5000 Sr
0.0000 0.0000 0.0000 Mo

> Which value of calculated total energy does entry 2 give?

-3.27 eV/atom

> Which of these has the lowest calculated total energy?

Sr3Mo